Material: Ba2YCo2O6
Method: DFT, PBE+U
State: relaxed

Values from the calculation:
Symmetry: R-3m
ρ in Mg/m³: 5.3
DFT total energy in eV per atom: -6.661

a b c (Å): 6.687 6.687 6.687
angles (deg): 54.13 54.13 54.13
Positions (direct):
Ba 0.218 0.218 0.218
Ba 0.782 0.782 0.782
Y 0.000 0.000 0.000
Co 0.436 0.436 0.436
Co 0.564 0.564 0.564
O 0.241 0.751 0.751
O 0.249 0.249 0.759
O 0.249 0.759 0.249
O 0.751 0.241 0.751
O 0.751 0.751 0.241
O 0.759 0.249 0.249